No. 1
## MgNiOs2 (GGA-PBEsol)

Data for an optimized crystal structure of MgNiOs2.

```
MgNiOs2
1.0
2.7059 0.0000 0.0000
1.3529 2.3434 0.0000
1.3529 0.7811 8.6465
Mg Ni Os
1 1 2
Cartesian
2.7059 1.5622 4.3233
0.0000 0.0000 0.0000
1.3529 0.7811 2.0118
4.0588 2.3434 6.6348
```

Computed properties:
Crystal system ... trigonal
SG ... R-3m
Calculated volume ... 55 Å³/cell
E ... -31.126 eV/f.u.
Formation enthalpy at 0 K ... 295 meV per atom
Total magnetic moment ... 0.00 μB/f.u.

=====

No. 2
## MgNiOs (GGA-PBEsol)

Data for an optimized crystal structure of MgNiOs.

```
MgNiOs
1.0
-2.9982 -2.5109 -1.2897
0.6498 -4.0625 -0.1756
-1.8815 -2.5035 2.6739
Os Mg Ni
1 1 1
Cartesian
-1.0575 -2.2692 0.3021
0.0000 0.0000 0.0000
-2.1149 -4.5385 0.6043
```

Computed properties:
Crystal system ... cubic
SG ... F-43m
Calculated volume ... 49 Å³/cell
E ... -17.258 eV/f.u.
Formation enthalpy at 0 K ... 944 meV per atom
Total magnetic moment ... 2.18 μB/f.u.

=====

No. 3
## MgNi6Os (GGA-PBEsol)

Data for an optimized crystal structure of MgNi6Os.

```
MgNi6Os
1.0
-3.0728 3.8137 -3.7700
2.3312 -4.6919 -3.2789
-8.4511 -5.2801 1.5470
Mg Ni Os
4 24 4
Cartesian
0.9705 -2.5502 -3.4025
-6.7125 -4.4012 -2.3636
-1.7121 1.6720 -3.6463
-2.4803 -1.7570 -3.1383
-0.9697 -2.3880 -5.0604
-4.2256 -2.6400 0.7735
-5.1404 -5.0377 -4.3058
-7.2642 -6.3207 -3.9082
-3.0572 -3.7361 -4.6871
-1.1661 -3.9542 -3.0028
-2.6767 -3.2856 -1.0711
0.0000 0.0000 0.0000
-0.5921 -1.9410 -1.4723
-4.7600 -4.5872 -0.6898
-8.6006 -4.2173 -4.0296
-1.9286 0.1624 -1.5937
-8.2231 -3.7702 -0.4415
-0.3708 -0.4391 -3.5244
-5.2812 -6.5252 -2.2496
-4.5964 -3.0791 -2.7510
-4.0523 -1.1206 -1.1961
-6.1355 -2.4221 -0.8148
-8.0266 -2.2041 -2.4991
-6.5160 -2.8726 -4.4308
-4.4327 -1.5711 -4.8121
-3.9115 0.3669 -3.2523
-6.8867 -5.8737 -0.3201
-2.3061 -0.2846 -5.1818
-2.0659 -1.2907 0.3782
-3.2874 -5.1394 -2.6320
-6.3852 -3.9893 1.1688
-5.9053 -1.0189 -2.8699
```

Computed properties:
Crystal system ... orthorhombic
SG ... Cmmm
Calculated volume ... 363 Å³/cell
E ... -50.816 eV/f.u.
Formation enthalpy at 0 K ... 8 meV per atom
Total magnetic moment ... 0.04 μB/f.u.

=====

No. 4
## RbMgNiOs2 (GGA-PBEsol)

Data for an optimized crystal structure of RbMgNiOs2.

```
RbMgNiOs2
1.0
-0.1164 -3.7082 -2.5576
1.2326 -2.4871 3.5498
-5.0686 -0.7111 1.2617
Rb Mg Os Ni
1 1 2 1
Cartesian
-2.5343 -0.3556 0.6309
-1.9762 -3.4532 1.1270
0.6163 -1.2435 1.7749
-0.0582 -1.8541 -1.2788
0.0000 0.0000 0.0000
```

Computed properties:
Crystal system ... tetragonal
SG ... P4/mmm
Calculated volume ... 107 Å³/cell
E ... -24.399 eV/f.u.
Formation enthalpy at 0 K ... 1787 meV per atom
Total magnetic moment ... 0.01 μB/f.u.

=====

No. 5
## MgTiNi2Os (GGA-PBEsol)

Data for an optimized crystal structure of MgTiNi2Os.

```
MgTiNi2Os
1.0
-1.9075 -3.5125 0.8287
1.7239 -1.7102 -3.2812
3.5183 -1.3131 2.5328
Ni Ti Os Mg
2 1 1 1
Cartesian
-0.9537 -1.7563 0.4143
0.8619 -0.8551 -1.6406
1.6673 -3.2679 0.0401
1.7591 -0.6565 1.2664
0.0000 0.0000 0.0000
```

Computed properties:
Crystal system ... tetragonal
SG ... P4/mmm
Calculated volume ... 75 Å³/cell
E ... -28.563 eV/f.u.
Formation enthalpy at 0 K ... 1201 meV per atom
Total magnetic moment ... 0.00 μB/f.u.

=====

No. 6
## Mg2NiP (GGA-PBEsol)

Data for an optimized crystal structure of Mg2NiP.

```
Mg2NiP
1.0
-0.9006 -3.1576 -2.0265
3.0338 -1.8391 1.5174
-3.2863 1.2524 3.1824
P Mg Ni
1 2 1
Cartesian
1.0666 -2.4984 -0.2546
-1.5602 -2.2018 0.4507
0.4070 -1.5425 2.2226
0.0000 0.0000 0.0000
```

Computed properties:
Crystal system ... tetragonal
SG ... I4/mmm
Calculated volume ... 58 Å³/cell
E ... -15.962 eV/f.u.
Formation enthalpy at 0 K ... -145 meV per atom
Total magnetic moment ... 0.00 μB/f.u.

=====

No. 7
## MgNiP2 (GGA-PBEsol)

Data for an optimized crystal structure of MgNiP2.

```
MgNiP2
1.0
3.5910 0.0000 0.0000
0.0000 3.5910 0.0000
-1.7955 -1.7955 4.1896
Ni P Mg
1 2 1
Cartesian
0.0000 1.7955 2.0948
1.7955 0.0000 2.0948
0.0000 0.0000 0.0000
1.7955 1.7955 0.0000
```

Computed properties:
Crystal system ... tetragonal
SG ... I-4m2
Calculated volume ... 54 Å³/cell
E ... -19.620 eV/f.u.
Formation enthalpy at 0 K ... -41 meV per atom
Total magnetic moment ... 0.00 μB/f.u.

=====

No. 8
## MgNi2P (GGA-PBEsol)

Data for an optimized crystal structure of MgNi2P.

```
MgNi2P
1.0
4.9626 0.0000 0.0000
0.0000 6.2697 0.0000
0.0000 0.0000 6.3645
Mg Ni P
4 8 4
Cartesian
3.1169 4.7023 6.2431
4.3271 4.7023 3.0609
1.8458 1.5674 0.1213
0.6355 1.5674 3.3036
1.9917 5.9381 2.0660
0.4896 5.9381 5.2483
2.9709 0.3317 4.2984
4.4730 0.3317 1.1162
1.9917 3.4665 2.0660
0.4896 3.4665 5.2483
4.4730 2.8032 1.1162
2.9709 2.8032 4.2984
1.8592 4.7023 3.9780
3.1034 1.5674 2.3865
4.3405 1.5674 5.5687
0.6221 4.7023 0.7958
```

Computed properties:
Crystal system ... orthorhombic
SG ... Pnma
Calculated volume ... 198 Å³/cell
E ... -22.244 eV/f.u.
Formation enthalpy at 0 K ... -605 meV per atom
Total magnetic moment ... 0.00 μB/f.u.

=====

No. 9
## Mg3Ni20P6 (GGA-PBEsol)

Data for an optimized crystal structure of Mg3Ni20P6.

```
Mg3Ni20P6
1.0
7.7426 0.0000 0.0000
3.8713 6.7053 0.0000
3.8713 2.2351 6.3218
Ni P Mg
20 6 3
Cartesian
3.8713 3.7980 4.1116
7.7426 4.4702 5.3593
2.5178 4.3610 0.0000
5.9476 3.4339 2.4281
6.3891 0.7814 2.2102
5.2248 1.4537 4.1116
5.2248 4.3610 0.0000
9.5376 5.5065 3.8937
7.7426 2.3975 3.8937
1.3535 0.7814 2.2102
3.8713 5.1424 2.2102
2.7070 0.0000 0.0000
7.7426 4.4702 0.9625
9.5376 3.4339 2.4281
1.3535 2.3443 0.0000
5.9476 5.5065 3.8937
5.0356 0.0000 0.0000
7.7426 6.5429 2.4281
2.5178 1.4537 4.1116
6.3891 2.3443 0.0000
5.9188 3.4172 4.6500
5.9188 5.5232 1.6718
7.7426 2.3643 1.6718
9.5664 3.4172 4.6500
7.7426 6.5761 4.6500
9.5664 5.5232 1.6718
0.0000 0.0000 0.0000
11.6139 6.7053 4.7414
3.8713 2.2351 1.5805
```

Computed properties:
Crystal system ... cubic
SG ... Fm-3m
Calculated volume ... 328 Å³/cell
E ... -178.206 eV/f.u.
Formation enthalpy at 0 K ... -523 meV per atom
Total magnetic moment ... 0.00 μB/f.u.

=====

No. 10
## MgNi2P (GGA-PBEsol)

Data for an optimized crystal structure of MgNi2P.

```
MgNi2P
1.0
2.8504 0.0000 0.0000
0.0000 3.9341 0.0000
-1.4252 0.0000 4.4725
Ni Mg P
2 1 1
Cartesian
1.4252 0.0000 3.6411
0.0000 1.9670 2.6961
1.4252 1.9670 0.5782
0.0000 0.0000 1.8277
```

Computed properties:
Crystal system ... orthorhombic
SG ... Amm2
Calculated volume ... 50 Å³/cell
E ... -21.103 eV/f.u.
Formation enthalpy at 0 K ... -320 meV per atom
Total magnetic moment ... 0.00 μB/f.u.

=====

No. 11
## MgNiP2 (GGA-PBEsol)

Data for an optimized crystal structure of MgNiP2.

```
MgNiP2
1.0
3.8782 0.0000 0.0000
1.9391 3.9535 0.0536
1.9391 0.3352 3.9396
Mg P Ni
1 2 1
Cartesian
1.9391 2.1443 1.9966
3.8782 0.8206 0.7641
3.8782 3.4681 3.2292
1.9391 0.0000 0.0000
```

Computed properties:
Crystal system ... orthorhombic
SG ... Immm
Calculated volume ... 60 Å³/cell
E ... -20.110 eV/f.u.
Formation enthalpy at 0 K ... -163 meV per atom
Total magnetic moment ... 0.00 μB/f.u.

=====

No. 12
## MgNiPS2 (GGA-PBEsol)

Data for an optimized crystal structure of MgNiPS2.

```
MgNiPS2
1.0
-1.1709 -4.3219 -1.1124
3.3189 -0.0744 -3.2042
3.0320 -1.6395 3.1786
S P Mg Ni
2 1 1 1
Cartesian
1.6594 -0.0372 -1.6021
-0.5854 -2.1610 -0.5562
1.5160 -0.8198 1.5893
0.0000 0.0000 0.0000
2.5900 -3.0179 -0.5690
```

Computed properties:
Crystal system ... tetragonal
SG ... P4/mmm
Calculated volume ... 100 Å³/cell
E ... -17.545 eV/f.u.
Total magnetic moment ... 0.97 μB/f.u.
Raw formation energy ... 94.4 kJ per mole of atoms

=====

No. 13
## Mg2Ni2Pb (GGA-PBEsol)

Data for an optimized crystal structure of Mg2Ni2Pb.

```
Mg2Ni2Pb
1.0
3.9305 0.0000 0.0000
0.0000 3.9305 0.0000
-1.9652 -1.9652 5.6474
Mg Pb Ni
2 1 2
Cartesian
1.9652 0.0000 2.8237
0.0000 1.9652 2.8237
0.0000 0.0000 0.0000
1.9652 1.9652 1.1316
0.0000 0.0000 4.5158
```

Computed properties:
Crystal system ... tetragonal
SG ... I4/mmm
Calculated volume ... 87 Å³/cell
E ... -18.945 eV/f.u.
Formation enthalpy at 0 K ... 161 meV per atom
Total magnetic moment ... 0.00 μB/f.u.

=====

No. 14
## Mg2NiPb (GGA-PBEsol)

Data for an optimized crystal structure of Mg2NiPb.

```
Mg2NiPb
1.0
-1.2635 -1.3408 -2.6130
-2.5402 -0.9297 1.7054
-3.4397 6.4140 -1.6266
Mg Ni Pb
2 1 1
Cartesian
-0.6547 1.2205 -0.3098
-4.0484 3.8526 -3.9298
-1.9018 -1.1353 -0.4538
-3.6217 2.0717 -1.2671
```

Computed properties:
Crystal system ... tetragonal
SG ... P4/mmm
Calculated volume ... 76 Å³/cell
E ... -13.827 eV/f.u.
Formation enthalpy at 0 K ... -59 meV per atom
Total magnetic moment ... 0.00 μB/f.u.

=====

No. 15
## Mg2NiPb (GGA-PBEsol)

Data for an optimized crystal structure of Mg2NiPb.

```
Mg2NiPb
1.0
-2.5472 -0.9484 2.4830
3.1910 -1.9888 2.5139
0.3619 5.3044 -0.3319
Mg Pb Ni
2 1 1
Cartesian
0.6996 0.6496 3.6949
0.3062 1.7176 0.9702
1.5955 -0.9944 1.2569
-1.2736 -0.4742 1.2415
```

Computed properties:
Crystal system ... orthorhombic
SG ... Immm
Calculated volume ... 74 Å³/cell
E ... -13.423 eV/f.u.
Formation enthalpy at 0 K ... 42 meV per atom
Total magnetic moment ... 0.00 μB/f.u.

=====

No. 16
## Mg2NiPb (GGA-PBEsol)

Data for an optimized crystal structure of Mg2NiPb.

```
Mg2NiPb
1.0
3.3845 0.0000 0.0000
0.0000 3.3845 0.0000
0.0000 0.0000 6.6688
Mg Pb Ni
2 1 1
Cartesian
1.6923 1.6923 1.9478
0.0000 0.0000 0.1377
1.6923 1.6923 4.7783
0.0000 0.0000 3.1394
```

Computed properties:
Crystal system ... tetragonal
SG ... P4mm
Calculated volume ... 76 Å³/cell
E ... -13.408 eV/f.u.
Formation enthalpy at 0 K ... 46 meV per atom
Total magnetic moment ... 0.00 μB/f.u.

=====

No. 17
## MgNiPb2W (GGA-PBEsol)

Data for an optimized crystal structure of MgNiPb2W.

```
MgNiPb2W
1.0
4.6676 0.0000 0.0000
0.0000 4.8966 0.0000
0.0000 0.0000 4.8966
Pb Ni Mg W
2 1 1 1
Cartesian
0.0000 0.0000 2.4483
0.0000 2.4483 0.0000
0.0000 0.0000 0.0000
2.3338 0.0000 0.0000
2.3338 2.4483 2.4483
```

Computed properties:
Crystal system ... tetragonal
SG ... P4/mmm
Calculated volume ... 112 Å³/cell
E ... -24.031 eV/f.u.
Formation enthalpy at 0 K ... 1130 meV per atom
Total magnetic moment ... 3.24 μB/f.u.

=====

No. 18
## PrMgNi4 (GGA-PBEsol)

Data for an optimized crystal structure of PrMgNi4.

```
PrMgNi4
1.0
4.9409 0.0000 0.0000
2.4704 4.2789 0.0000
2.4704 1.4263 4.0342
Ni Pr Mg
4 1 1
Cartesian
7.4113 4.2789 1.4946
6.1612 5.0007 3.5360
7.4113 2.8354 3.5360
8.6615 5.0007 3.5360
4.9409 2.8526 2.0171
2.4704 1.4263 1.0086
```

Computed properties:
Crystal system ... cubic
SG ... F-43m
Calculated volume ... 85 Å³/cell
E ... -33.342 eV/f.u.
Formation enthalpy at 0 K ... -302 meV per atom
Total magnetic moment ... 0.00 μB/f.u.

=====

No. 19
## Pr4MgNi (GGA-PBEsol)

Data for an optimized crystal structure of Pr4MgNi.

```
Pr4MgNi
1.0
-7.2385 -5.7481 -3.3061
-5.4447 -5.1655 6.3277
-9.3611 2.4900 1.5926
Mg Pr Ni
4 16 4
Cartesian
-11.0012 -5.1786 3.9421
-9.2807 -3.5464 1.9426
-11.5680 -5.3627 0.8979
-12.2387 -2.7596 2.4458
-12.0519 -8.3667 2.7501
-7.5643 -4.8031 4.7997
-13.3679 -3.2594 5.7870
-6.1329 -4.6149 1.4210
-11.0632 -2.3205 -0.8913
-14.4800 -3.6205 -0.1855
-4.8892 0.4030 0.8860
-14.4288 -5.5136 3.0202
-8.6423 -7.0528 2.0357
-4.0946 -2.6810 -0.9479
-9.9543 -1.9604 5.0638
-6.9276 -1.5308 3.2550
-9.9924 -0.0570 1.8641
-3.4230 -2.4630 2.6587
-7.5991 -1.7489 -0.3517
-8.6765 -5.1642 -1.1729
-18.9034 -7.2234 3.9568
-14.8774 -8.2943 3.2718
-16.5618 -5.0018 1.2353
-15.7903 -4.7513 5.3786
```

Computed properties:
Crystal system ... cubic
SG ... F-43m
Calculated volume ... 669 Å³/cell
E ... -29.467 eV/f.u.
Formation enthalpy at 0 K ... -142 meV per atom
Total magnetic moment ... 0.00 μB/f.u.

=====

No. 20
## MgNi2Pt (GGA-PBEsol)

Data for an optimized crystal structure of MgNi2Pt.

```
MgNi2Pt
1.0
-2.3123 1.9946 -2.2032
-2.3871 0.4164 2.8822
4.0489 1.8339 0.6287
Ni Pt Mg
2 1 1
Cartesian
-0.3065 2.5170 -0.6175
-0.3439 1.7279 1.9253
-2.3497 1.2055 0.3395
0.0000 0.0000 0.0000
```

Computed properties:
Crystal system ... tetragonal
SG ... I4/mmm
Calculated volume ... 51 Å³/cell
E ... -21.944 eV/f.u.
Formation enthalpy at 0 K ... -237 meV per atom
Total magnetic moment ... 0.81 μB/f.u.